(1)
A plane-wave DFT calculation with PBE was carried out for an optimized crystal structure of Ta4PbAu.

## Properties
E_tot: -8.56 eV per atom
E_form: 502 meV/atom

a = 5.555 Å, b = 5.555 Å, c = 5.555 Å
α = 60.00°, β = 60.00°, γ = 60.00°
Positions (direct):
Ta  0.125  0.125  0.125
Ta  0.125  0.125  0.624
Ta  0.125  0.624  0.125
Ta  0.624  0.125  0.125
Pb  0.500  0.500  0.500
Au  0.750  0.750  0.750

(2)
A plane-wave DFT calculation with PBE was carried out for an optimized crystal structure of Rb3P6N11.

## Properties
E_tot: -6.96 eV per atom

a = 10.611 Å, b = 10.611 Å, c = 10.611 Å
α = 90.00°, β = 90.00°, γ = 90.00°
Positions (direct):
Rb  0.011  0.489  0.511
Rb  0.125  0.625  0.875
Rb  0.239  0.261  0.739
Rb  0.261  0.739  0.239
Rb  0.375  0.375  0.375
Rb  0.489  0.511  0.011
Rb  0.511  0.011  0.489
Rb  0.625  0.875  0.125
Rb  0.739  0.239  0.261
Rb  0.761  0.761  0.761
Rb  0.875  0.125  0.625
Rb  0.989  0.989  0.989
P  0.042  0.820  0.547
P  0.047  0.458  0.180
P  0.070  0.208  0.297
P  0.180  0.047  0.458
P  0.203  0.930  0.708
P  0.208  0.297  0.070
P  0.292  0.703  0.570
P  0.297  0.070  0.208
P  0.320  0.953  0.958
P  0.430  0.792  0.797
P  0.453  0.542  0.680
P  0.458  0.180  0.047
P  0.542  0.680  0.453
P  0.547  0.042  0.820
P  0.570  0.292  0.703
P  0.680  0.453  0.542
P  0.703  0.570  0.292
P  0.708  0.203  0.930
P  0.792  0.797  0.430
P  0.797  0.430  0.792
P  0.820  0.547  0.042
P  0.930  0.708  0.203
P  0.953  0.958  0.320
P  0.958  0.320  0.953
N  0.011  0.345  0.277
N  0.027  0.595  0.239
N  0.052  0.948  0.448
N  0.059  0.875  0.691
N  0.095  0.261  0.973
N  0.125  0.191  0.441
N  0.155  0.723  0.511
N  0.191  0.441  0.125
N  0.198  0.198  0.198
N  0.223  0.989  0.845
N  0.239  0.027  0.595
N  0.261  0.973  0.095
N  0.277  0.011  0.345
N  0.302  0.802  0.698
N  0.309  0.559  0.625
N  0.345  0.277  0.011
N  0.375  0.809  0.941
N  0.405  0.739  0.473
N  0.441  0.125  0.191
N  0.448  0.052  0.948
N  0.473  0.405  0.739
N  0.489  0.655  0.777
N  0.511  0.155  0.723
N  0.527  0.905  0.761
N  0.552  0.552  0.552
N  0.559  0.625  0.309
N  0.595  0.239  0.027
N  0.625  0.309  0.559
N  0.655  0.777  0.489
N  0.691  0.059  0.875
N  0.698  0.302  0.802
N  0.723  0.511  0.155
N  0.739  0.473  0.405
N  0.761  0.527  0.905
N  0.777  0.489  0.655
N  0.802  0.698  0.302
N  0.809  0.941  0.375
N  0.845  0.223  0.989
N  0.875  0.691  0.059
N  0.905  0.761  0.527
N  0.941  0.375  0.809
N  0.948  0.448  0.052
N  0.973  0.095  0.261
N  0.989  0.845  0.223